A plane-wave DFT calculation with PBE was carried out for PuPa2SnRh4 after structural relaxation.

Properties
total DFT energy (no corrections) = -71.48 eV for the cell shown

Geometry as POSCAR:
```
PuPa2SnRh4
1.0
2.3409 1.3515 8.3091
-2.3409 1.3515 8.3091
0.0000 -2.7031 8.3091
Pu Pa Sn Rh
1 2 1 4
direct
0.0000 0.0000 0.0000
0.2524 0.2524 0.2524
0.7476 0.7476 0.7476
0.5000 0.5000 0.5000
0.1290 0.1290 0.1290
0.3896 0.3896 0.3896
0.6104 0.6104 0.6104
0.8710 0.8710 0.8710
```

***

A plane-wave DFT calculation with PBE was carried out for TaTl2Cr after structural relaxation.

Properties
total DFT energy (no corrections) = -88.55 eV for the cell shown

Geometry as POSCAR:
```
TaTl2Cr
1.0
6.7123 0.0000 0.0000
0.0000 6.7123 0.0000
0.0000 0.0000 6.7123
Ta Tl Cr
4 8 4
direct
0.0000 0.0000 0.0000
0.0000 0.5000 0.5000
0.5000 0.0000 0.5000
0.5000 0.5000 0.0000
0.2500 0.2500 0.2500
0.2500 0.2500 0.7500
0.2500 0.7500 0.2500
0.2500 0.7500 0.7500
0.7500 0.2500 0.2500
0.7500 0.2500 0.7500
0.7500 0.7500 0.2500
0.7500 0.7500 0.7500
0.0000 0.0000 0.5000
0.0000 0.5000 0.0000
0.5000 0.0000 0.0000
0.5000 0.5000 0.5000
```

***

A plane-wave DFT calculation with PBE was carried out for BeSiPt2 after structural relaxation.

Properties
raw formation energy = -0.532 eV/atom

Geometry as POSCAR:
```
BeSiPt2
1.0
3.8408 0.0000 0.0000
0.0000 3.9301 0.0000
0.0000 0.0000 7.0923
Be Si Pt
2 2 4
direct
0.0000 0.0000 0.0000
0.5000 0.5000 0.5000
0.0000 0.0000 0.5000
0.5000 0.5000 0.0000
0.0000 0.5000 0.2946
0.0000 0.5000 0.7054
0.5000 0.0000 0.2054
0.5000 0.0000 0.7946
```

***

A plane-wave DFT calculation with PBE was carried out for TmZrAlRe after structural relaxation.

Properties
total DFT energy (no corrections) = -120.22 eV for the cell shown

Geometry as POSCAR:
```
TmZrAlRe
1.0
6.8003 0.0000 0.0000
0.0000 6.8003 0.0000
0.0000 0.0000 6.8003
Tm Zr Al Re
4 4 4 4
direct
0.0000 0.0000 0.0000
0.0000 0.5000 0.5000
0.5000 0.0000 0.5000
0.5000 0.5000 0.0000
0.0000 0.0000 0.5000
0.0000 0.5000 0.0000
0.5000 0.0000 0.0000
0.5000 0.5000 0.5000
0.2500 0.2500 0.7500
0.2500 0.7500 0.2500
0.7500 0.2500 0.2500
0.7500 0.7500 0.7500
0.2500 0.2500 0.2500
0.2500 0.7500 0.7500
0.7500 0.2500 0.7500
0.7500 0.7500 0.2500
```

***

A plane-wave DFT calculation with PBE was carried out for Co2TeSe after structural relaxation.

Properties
raw formation energy = 0.498 eV/atom

Geometry as POSCAR:
```
Co2TeSe
1.0
3.6724 0.0000 0.0000
0.0000 3.6724 0.0000
0.0000 0.0000 9.6165
Co Te Se
4 2 2
direct
0.0000 0.0000 0.0000
0.0000 0.5000 0.2500
0.5000 0.0000 0.7500
0.5000 0.5000 0.5000
0.0000 0.0000 0.5000
0.5000 0.5000 0.0000
0.0000 0.5000 0.7500
0.5000 0.0000 0.2500
```

***

A plane-wave DFT calculation with PBE was carried out for TiCrAgS4 after structural relaxation.

Properties
raw formation energy = -0.810 eV/atom

Geometry as POSCAR:
```
TiCrAgS4
1.0
5.9654 0.0000 0.0000
0.0000 6.9057 0.0000
-0.3946 0.0000 6.5282
Ti Cr Ag S
2 2 2 8
direct
0.0000 0.0000 0.0000
0.5000 0.2841 0.0000
0.0000 0.5114 0.0000
0.5000 0.7702 0.0000
0.5000 0.2842 0.5000
0.5000 0.7824 0.5000
0.1752 0.2653 0.2105
0.1821 0.7591 0.2101
0.3130 0.5228 0.7861
0.3214 0.0154 0.7861
0.6786 0.0154 0.2139
0.6870 0.5228 0.2139
0.8179 0.7591 0.7899
0.8248 0.2653 0.7895
```

***

A plane-wave DFT calculation with PBE was carried out for ZrSbAsP2 after structural relaxation.

Properties
raw formation energy = 1.126 eV/atom

Geometry as POSCAR:
```
ZrSbAsP2
1.0
4.9079 0.0000 0.0000
0.0000 4.9079 0.0000
0.0000 0.0000 5.5756
Zr Sb As P
1 1 1 2
direct
0.0000 0.0000 0.0000
0.0000 0.0000 0.5000
0.5000 0.5000 0.0000
0.0000 0.5000 0.5000
0.5000 0.0000 0.5000
```

***

A plane-wave DFT calculation with PBE was carried out for RePtO2 after structural relaxation.

Properties
raw formation energy = -0.659 eV/atom

Geometry as POSCAR:
```
RePtO2
1.0
2.7731 0.0000 0.0000
-1.3866 2.4016 0.0000
0.0000 0.0000 20.5705
Re Pt O
3 3 6
direct
0.0000 0.0000 0.0000
0.3333 0.6667 0.6667
0.6667 0.3333 0.3333
0.0000 0.0000 0.5000
0.3333 0.6667 0.1667
0.6667 0.3333 0.8333
0.0000 0.0000 0.3997
0.0000 0.0000 0.6003
0.3333 0.6667 0.0664
0.3333 0.6667 0.2669
0.6667 0.3333 0.7331
0.6667 0.3333 0.9336
```

***

A plane-wave DFT calculation with PBE was carried out for LiIn after structural relaxation.

Properties
total DFT energy (no corrections) = -29.67 eV for the cell shown

Geometry as POSCAR:
```
LiIn
1.0
2.9914 0.0000 0.0000
0.0000 12.0129 0.0000
0.0000 0.0000 7.1092
Li In
6 6
direct
0.0000 0.0000 0.0000
0.0000 0.1154 0.3487
0.0000 0.3846 0.8487
0.0000 0.5000 0.5000
0.0000 0.6154 0.8487
0.0000 0.8846 0.3487
0.5000 0.0000 0.6540
0.5000 0.2109 0.0298
0.5000 0.2891 0.5298
0.5000 0.5000 0.1540
0.5000 0.7109 0.5298
0.5000 0.7891 0.0298
```

***

A plane-wave DFT calculation with PBE was carried out for YScPt after structural relaxation.

Properties
total DFT energy (no corrections) = -42.74 eV for the cell shown

Geometry as POSCAR:
```
YScPt
1.0
5.5241 0.0000 0.0000
0.0000 4.5688 0.0000
-1.8154 0.0000 5.8199
Y Sc Pt
2 2 2
direct
0.0771 0.2500 0.2782
0.9229 0.7500 0.7218
0.4710 0.2500 0.8162
0.5290 0.7500 0.1838
0.3614 0.7500 0.5742
0.6386 0.2500 0.4258
```

***

A plane-wave DFT calculation with PBE was carried out for K2MgBe after structural relaxation.

Properties
total DFT energy (no corrections) = -10.65 eV for the cell shown

Geometry as POSCAR:
```
K2MgBe
1.0
4.9342 0.0000 0.0000
0.0000 5.3168 0.0000
0.0000 0.0000 12.2205
K Mg Be
4 2 2
direct
0.0000 0.0000 0.0000
0.0000 0.5000 0.5000
0.5000 0.0000 0.3106
0.5000 0.5000 0.8106
0.0000 0.0000 0.6846
0.0000 0.5000 0.1846
0.5000 0.0000 0.6240
0.5000 0.5000 0.1240
```

***

A plane-wave DFT calculation with PBE was carried out for DyAl4Bi after structural relaxation.

Properties
total DFT energy (no corrections) = -24.43 eV for the cell shown

Geometry as POSCAR:
```
DyAl4Bi
1.0
0.0000 3.9708 3.9708
3.9708 0.0000 3.9708
3.9708 3.9708 0.0000
Dy Al Bi
1 4 1
direct
0.0000 0.0000 0.0000
0.1251 0.6250 0.6250
0.6250 0.1251 0.6250
0.6250 0.6250 0.1251
0.6250 0.6250 0.6250
0.2500 0.2500 0.2500
```

***

no.,D(E_F) (states/eV per atom)
1,1.8562
2,1.6960
3,0.3589
4,0.4196
5,1.3478
6,0.0993
7,0.8486
8,0.3853
9,0.3327
10,0.9481
11,0.7385
12,0.7994